(1)
Material: YHo6Tm6
Method: DFT, PBE-GGA
State: relaxed

Cell and atoms, written as extended XYZ:
```
13
Lattice="6.590 0.000 0.000 -3.294 5.708 0.000 0.000 0.000 11.239" Properties=species:S:1:pos:R:3 pbc="T T T"
Ho 3.295 1.902 5.620
Tm -1.647 2.854 8.510
Tm -1.647 2.854 2.730
Ho 0.000 0.000 3.876
Ho 0.000 0.000 7.363
Tm 3.295 0.000 2.730
Ho 0.000 3.805 0.000
Ho 3.295 1.902 0.000
Tm 1.648 2.854 2.730
Tm 1.648 2.854 8.509
Tm 3.295 0.000 8.510
Y 0.000 0.000 0.000
Ho 0.000 3.805 5.620
```

Calculated values
The formation energy from the elements comes out at 3.584 eV per formula unit. The volume is 422.7 Å³ per cell. The calculation puts the total energy at -4.40 eV per atom.

---

(2)
Material: BaNaCa2Cu
Method: DFT, PBE-GGA
State: relaxed

Cell and atoms, written as extended XYZ:
```
5
Lattice="5.749 0.000 0.000 0.000 5.749 0.000 0.000 0.000 5.927" Properties=species:S:1:pos:R:3 pbc="T T T"
Ba 2.875 2.875 2.964
Cu 0.000 0.000 0.000
Na 0.000 0.000 2.964
Ca 0.000 2.875 0.000
Ca 2.875 0.000 0.000
```

Calculated values
The value obtained for the offset from the most stable computed form is 70.6 meV per atom. The formation energy from the elements comes out at 0.393 eV per formula unit. The volume is 195.9 Å³ per cell. The calculation puts the total energy at -2.19 eV per atom.